Version A
Computed, not measured: a relaxed structure of KCr2W at the GGA-PBE level of DFT.

Lattice parameters (Å, degrees): 7.5872 2.8774 8.1731 90.00 93.87 90.00
Space group Cm (No. 8)
Unique sites:
1 K 0.0000 0.0000 0.0000
2 Cr 0.0032 0.5000 0.5059
3 Cr 0.2312 0.0000 0.6472
4 W 0.2758 0.5000 0.3624

Output
The density of states at the Fermi level comes out at 3.2 states/eV/f.u.

---

Version B
Computed, not measured: a relaxed structure of KCr2W at the GGA-PBE level of DFT.

Lattice parameters (Å, degrees): 2.9881 4.5353 10.0372 90.00 90.00 90.00
Space group Cmm2 (No. 35)
Unique sites:
1 K 0.0000 0.0000 0.0000
2 Cr 0.0000 0.0000 0.4740
3 Cr 0.0000 0.5000 0.3022
4 W 0.0000 0.5000 0.6866

Output
The density of states at the Fermi level comes out at 3.7 states/eV/f.u.

---

Which structure wins on stability? version B wins.

---

Version A
Computed, not measured: a relaxed structure of KCr2W at the GGA-PBE level of DFT.

Lattice parameters (Å, degrees): 9.0914 2.8556 7.0292 90.00 92.63 90.00
Space group C2/m (No. 12)
Unique sites:
1 K 0.0000 0.0000 0.0000
2 Cr 0.2400 0.0000 0.6099
3 W 0.0000 0.5000 0.5000

Output
The density of states at the Fermi level comes out at 3.2 states/eV/f.u.

---

Version B
Computed, not measured: a relaxed structure of KCr2W at the GGA-PBE level of DFT.

Lattice parameters (Å, degrees): 4.6437 4.6437 6.5566 90.00 90.00 90.00
Space group I-4m2 (No. 119)
Unique sites:
1 K 0.0000 0.0000 0.0000
2 Cr 0.0000 0.0000 0.5000
3 Cr 0.0000 0.5000 0.7500
4 W 0.0000 0.5000 0.2500

Output
The density of states at the Fermi level comes out at 4.5 states/eV/f.u.

---

Which structure wins on stability? version A wins.